[1]
Density functional theory data (GGA-PBE) for a geometry-optimized ZrTa2Au structure.

It has space group C2/m (No. 12), with a = 5.742 Å, b = 9.772 Å, c = 2.901 Å, α = 90.00°, β = 111.51° and γ = 90.00°. Symmetry generates all atoms from Zr at (0.000, 0.000, 0.000), Ta at (0.250, 0.250, 0.500) and Au at (0.000, 0.500, 0.000).

The formation energy from the elements comes out at 0.029 eV per atom. For the total DFT energy (no corrections), the calculation gives -8.85 eV/atom.



[2]
Density functional theory data (GGA-PBE) for a geometry-optimized ZrTa3Au structure.

It has space group Pm-3m (No. 221), with a = 4.949 Å, b = 4.949 Å, c = 4.949 Å, α = 90.00°, β = 90.00° and γ = 90.00°. Symmetry generates all atoms from Zr at (0.000, 0.000, 0.000), Ta at (0.000, 0.500, 0.500) and Au at (0.500, 0.500, 0.500).

The formation energy from the elements comes out at 1.512 eV per atom. For the total DFT energy (no corrections), the calculation gives -7.96 eV/atom.



[3]
Density functional theory data (GGA-PBE) for a geometry-optimized ZrTa2Au structure.

It has space group I-42d (No. 122), with a = 3.980 Å, b = 3.980 Å, c = 20.661 Å, α = 90.00°, β = 90.00° and γ = 90.00°. Symmetry generates all atoms from Zr at (0.000, 0.000, 0.000), Ta at (0.247, 0.250, 0.125) and Au at (0.000, 0.000, 0.500).

The formation energy from the elements comes out at 0.371 eV per atom. For the total DFT energy (no corrections), the calculation gives -8.51 eV/atom.



[4]
Density functional theory data (GGA-PBE) for a geometry-optimized ZrTaAu3 structure.

It has space group Pm-3m (No. 221), with a = 5.003 Å, b = 5.003 Å, c = 5.003 Å, α = 90.00°, β = 90.00° and γ = 90.00°. Symmetry generates all atoms from Zr at (0.000, 0.000, 0.000), Ta at (0.500, 0.500, 0.500) and Au at (0.000, 0.500, 0.500).

The formation energy from the elements comes out at 0.874 eV per atom. For the total DFT energy (no corrections), the calculation gives -5.17 eV/atom.



[5]
Density functional theory data (GGA-PBE) for a geometry-optimized ZrTaAu2 structure.

It has space group I4/mmm (No. 139), with a = 4.221 Å, b = 4.221 Å, c = 8.389 Å, α = 90.00°, β = 90.00° and γ = 90.00°. Symmetry generates all atoms from Zr at (0.000, 0.000, 0.000), Ta at (0.000, 0.000, 0.500) and Au at (0.000, 0.500, 0.250).

The formation energy from the elements comes out at -0.208 eV per atom. For the total DFT energy (no corrections), the calculation gives -6.95 eV/atom.



[6]
Density functional theory data (GGA-PBE) for a geometry-optimized ZrTa2Au structure.

It has space group Pm (No. 6), with a = 2.942 Å, b = 4.619 Å, c = 5.789 Å, α = 90.00°, β = 103.79° and γ = 90.00°. Symmetry generates all atoms from Zr at (0.000, 0.000, 0.000), Ta at (0.228, 0.500, 0.742), Ta at (0.447, 0.000, 0.528) and Au at (0.690, 0.500, 0.256).

The formation energy from the elements comes out at 0.017 eV per atom. For the total DFT energy (no corrections), the calculation gives -8.87 eV/atom.



Q: Which of these has the lowest formation energy from the elements?
A: ZrTaAu2



Q: The highest formation energy from the elements belongs to which entry?
A: ZrTa3Au